ZrMn2InO6 PBE+U relaxed; crystal system = triclinic; E_tot = -7.670 eV/atom
1.0
5.373 0.000 0.000
2.589 4.752 0.000
0.033 3.022 4.850
Zr Mn In O
1 2 1 6
Cartesian
0.000 0.000 0.000 Zr
2.669 4.640 4.112 Mn
5.345 3.139 1.839 Mn
2.692 1.506 2.377 In
1.710 3.084 0.861 O
3.425 6.435 3.370 O
4.449 4.932 0.817 O
3.853 3.102 3.212 O
4.396 1.647 0.871 O
6.124 4.421 3.192 O